An optimized crystal structure of TiIn3Hg. Source: the Alexandria database, functional PBE-GGA.

a b c (Å): 5.476 5.476 5.476
angles (deg): 90.00 90.00 90.00
Positions (direct):
Ti: 0.000 0.000 0.000
In: 0.000 0.000 0.500
In: 0.000 0.500 0.000
In: 0.500 0.000 0.000
Hg: 0.500 0.500 0.500

Output
DOS(E_F) = 1.05 states/eV per atom
DFT formation energy = 448 meV per atom
ΔE to the lowest computed polymorph = 0 meV/atom
Energy = -14.17 eV for the cell shown
Volume = 164.25 Å³/f.u.
Mass density = 5.99 g/cm3

=====

An optimized crystal structure of MnCoSb. Source: the Alexandria database, functional PBE-GGA.

a b c (Å): 6.899 6.899 6.899
angles (deg): 34.35 34.35 34.35
Positions (direct):
Mn: 0.000 0.000 0.000
Mn: 0.369 0.369 0.369
Co: 0.497 0.497 0.497
Co: 0.628 0.628 0.628
Sb: 0.232 0.232 0.232
Sb: 0.767 0.767 0.767

Output
DOS(E_F) = 0.93 states/eV per atom
Energy = -40.89 eV for the cell shown
Volume = 46.63 Å³/f.u.
Mass density = 8.39 g/cm3

=====

An optimized crystal structure of Sr2ReBr. Source: the Alexandria database, functional PBE-GGA.

a b c (Å): 9.501 9.501 9.501
angles (deg): 23.01 23.01 23.01
Positions (direct):
Sr: 0.246 0.246 0.246
Sr: 0.754 0.754 0.754
Re: 0.500 0.500 0.500
Br: 0.000 0.000 0.000

Output
DOS(E_F) = 0.87 states/eV per atom
ΔE to the lowest computed polymorph = 144 meV/atom
Energy = -16.81 eV for the cell shown
Volume = 114.98 Å³/f.u.
Mass density = 6.37 g/cm3

=====

An optimized crystal structure of HfZr2. Source: the Alexandria database, functional PBE-GGA.

a b c (Å): 3.129 5.025 5.031
angles (deg): 119.90 90.03 90.18
Positions (direct):
Hf: 0.000 0.000 0.000
Zr: 0.499 0.666 0.333
Zr: 0.998 0.333 0.667

Output
DOS(E_F) = 0.80 states/eV per atom
DFT formation energy = 36 meV per atom
Energy = -26.94 eV for the cell shown
Volume = 68.59 Å³/f.u.
Mass density = 8.74 g/cm3

=====

An optimized crystal structure of Ba2InNiHg. Source: the Alexandria database, functional PBE-GGA.

a b c (Å): 5.971 5.971 4.981
angles (deg): 90.00 90.00 90.00
Positions (direct):
Ba: 0.000 0.500 0.000
Ba: 0.500 0.000 0.000
In: 0.000 0.000 0.500
Ni: 0.000 0.000 0.000
Hg: 0.500 0.500 0.500

Output
DOS(E_F) = 0.78 states/eV per atom
DFT formation energy = -260 meV per atom
Energy = -13.97 eV for the cell shown
Volume = 177.60 Å³/f.u.
Mass density = 6.07 g/cm3

=====

An optimized crystal structure of InAsRu4. Source: the Alexandria database, functional PBE-GGA.

a b c (Å): 5.196 5.196 5.196
angles (deg): 60.00 60.00 60.00
Positions (direct):
In: 0.000 0.000 0.000
As: 0.250 0.250 0.250
Ru: 0.126 0.625 0.625
Ru: 0.625 0.126 0.625
Ru: 0.625 0.625 0.126
Ru: 0.625 0.625 0.625

Output
DOS(E_F) = 1.66 states/eV per atom
DFT formation energy = 510 meV per atom
Energy = -41.43 eV for the cell shown
Volume = 99.18 Å³/f.u.
Mass density = 9.95 g/cm3

=====

An optimized crystal structure of Ho2ErPd. Source: the Alexandria database, functional PBE-GGA.

a b c (Å): 3.558 3.558 8.317
angles (deg): 90.00 90.00 90.00
Positions (direct):
Ho: 0.000 0.000 0.201
Ho: 0.000 0.000 0.799
Er: 0.500 0.500 0.500
Pd: 0.500 0.500 0.000

Output
DOS(E_F) = 1.17 states/eV per atom
DFT formation energy = -417 meV per atom
ΔE to the lowest computed polymorph = 67 meV/atom
Energy = -20.58 eV for the cell shown
Volume = 105.31 Å³/f.u.
Mass density = 9.52 g/cm3

=====

An optimized crystal structure of Na4LiIn6. Source: the Alexandria database, functional PBE-GGA.

a b c (Å): 9.267 9.267 9.267
angles (deg): 141.10 141.10 56.18
Positions (direct):
Na: 0.017 0.622 0.000
Na: 0.378 0.378 0.395
Na: 0.622 0.017 0.000
Na: 0.983 0.983 0.605
Li: 0.000 0.000 0.000
In: 0.000 0.500 0.500
In: 0.201 0.201 0.636
In: 0.435 0.799 0.000
In: 0.500 0.000 0.500
In: 0.565 0.565 0.364
In: 0.799 0.435 0.000

Output
DOS(E_F) = 0.57 states/eV per atom
DFT formation energy = -53 meV per atom
Energy = -24.21 eV for the cell shown
Volume = 311.38 Å³/f.u.
Mass density = 4.20 g/cm3

=====

An optimized crystal structure of Cr2CdPb. Source: the Alexandria database, functional PBE-GGA.

a b c (Å): 6.240 6.240 6.240
angles (deg): 104.19 104.19 120.65
Positions (direct):
Cr: 0.122 0.625 0.997
Cr: 0.375 0.372 0.497
Cr: 0.628 0.125 0.003
Cr: 0.875 0.878 0.503
Cd: 0.000 0.000 0.000
Cd: 0.750 0.250 0.500
Pb: 0.250 0.750 0.500
Pb: 0.500 0.500 0.000

Output
DOS(E_F) = 0.46 states/eV per atom
DFT formation energy = 857 meV per atom
Energy = -40.88 eV for the cell shown
Volume = 90.83 Å³/f.u.
Mass density = 7.74 g/cm3

=====

An optimized crystal structure of BaPdPb3. Source: the Alexandria database, functional PBE-GGA.

a b c (Å): 6.211 6.211 6.211
angles (deg): 90.00 90.00 90.00
Positions (direct):
Ba: 0.000 0.000 0.000
Pd: 0.500 0.500 0.500
Pb: 0.000 0.000 0.500
Pb: 0.000 0.500 0.000
Pb: 0.500 0.000 0.000

Output
DOS(E_F) = 1.05 states/eV per atom
DFT formation energy = 1227 meV per atom
Energy = -12.10 eV for the cell shown
Volume = 239.54 Å³/f.u.
Mass density = 6.00 g/cm3

=====

An optimized crystal structure of DyThZr2. Source: the Alexandria database, functional PBE-GGA.

a b c (Å): 11.158 11.158 11.158
angles (deg): 17.40 17.40 17.40
Positions (direct):
Dy: 0.000 0.000 0.000
Th: 0.833 0.833 0.833
Zr: 0.416 0.416 0.416
Zr: 0.583 0.583 0.583

Output
DOS(E_F) = 1.61 states/eV per atom
DFT formation energy = 130 meV per atom
ΔE to the lowest computed polymorph = 25 meV/atom
Energy = -28.60 eV for the cell shown
Volume = 108.42 Å³/f.u.
Mass density = 8.84 g/cm3

=====

An optimized crystal structure of ScCrAs2I. Source: the Alexandria database, functional PBE-GGA.

a b c (Å): 5.093 5.093 5.776
angles (deg): 90.00 90.00 90.00
Positions (direct):
Sc: 0.000 0.000 0.000
Cr: 0.500 0.500 0.500
As: 0.000 0.500 0.000
As: 0.500 0.000 0.000
I: 0.000 0.000 0.500

Output
DOS(E_F) = 0.66 states/eV per atom
Energy = -24.97 eV for the cell shown
Volume = 149.81 Å³/f.u.
Mass density = 4.14 g/cm3